Run P
TlGa2Ir after structural relaxation, computed with PBE.

```
TlGa2Ir
1.0
-3.254 -0.325 -4.433
2.525 -4.656 -1.512
-5.387 -6.508 1.009
Tl Ir Ga
2 2 4
Cartesian
0.000 0.000 0.000
-4.503 -4.662 -3.198
-0.364 -2.491 -2.973
-1.613 -6.828 -1.738
-2.463 -2.352 -1.888
-0.777 -4.638 -2.067
-3.846 -7.610 -1.752
-5.145 -8.379 -4.166
```

=====

Run Q
TlGa2Ir after structural relaxation, computed with PBE.

```
TlGa2Ir
1.0
0.565 -1.326 4.489
-3.756 -0.466 2.811
-1.391 -4.287 1.384
Tl Ir Ga
1 1 2
Cartesian
-2.291 -3.040 4.342
0.000 0.000 0.000
-1.145 -1.520 2.171
-3.436 -4.559 6.513
```

=====

Which of them is the least stable? Correct choice: run Q.

=====

Run P
TmGa3Ir after structural relaxation, computed with PBE.

```
TmGa3Ir
1.0
4.035 0.000 0.000
0.000 5.274 0.000
0.000 -2.637 4.502
Tm Ga Ir
1 3 1
Cartesian
2.017 2.637 3.872
0.000 1.260 1.761
0.000 4.014 1.761
2.017 2.637 0.885
0.000 0.000 3.919
```

=====

Run Q
TmGa3Ir after structural relaxation, computed with PBE.

```
TmGa3Ir
1.0
6.394 0.000 0.000
0.000 6.394 0.000
0.000 0.000 6.394
Tm Ga Ir
3 9 3
Cartesian
0.000 3.197 3.197
3.197 0.000 3.197
3.197 3.197 0.000
3.197 3.197 3.197
1.368 1.368 1.368
5.026 5.026 1.368
5.026 1.368 5.026
1.368 5.026 5.026
1.368 1.368 5.026
5.026 5.026 5.026
1.368 5.026 1.368
5.026 1.368 1.368
3.197 0.000 0.000
0.000 3.197 0.000
0.000 0.000 3.197
```

=====

Which of them is the least stable? Correct choice: run P.

=====

Run P
YTmGaIr after structural relaxation, computed with PBE.

```
YTmGaIr
1.0
-4.413 1.709 -1.373
-1.847 -1.205 -4.407
-3.844 -3.068 -0.305
Y Ir Tm Ga
1 1 1 1
Cartesian
-7.578 -1.923 -4.564
0.000 0.000 0.000
-2.526 -0.641 -1.521
-5.052 -1.282 -3.042
```

=====

Run Q
YTmGaIr after structural relaxation, computed with PBE.

```
YTmGaIr
1.0
3.925 0.000 0.000
0.000 4.238 0.000
-1.962 0.000 5.346
Y Tm Ga Ir
1 1 1 1
Cartesian
0.000 0.000 1.551
1.962 2.119 3.861
1.962 2.119 0.746
0.000 0.000 4.534
```

=====

Which of them is the least stable? Correct choice: run P.

=====

Run P
UGa4Ir2 after structural relaxation, computed with PBE.

```
UGa4Ir2
1.0
-3.943 1.502 -0.461
-2.447 -5.540 2.891
1.070 7.495 15.269
Ir U Ga
8 4 16
Cartesian
-2.266 0.221 10.339
-3.054 3.236 7.360
-2.566 6.877 15.050
-2.754 -3.420 2.649
-2.471 0.969 14.530
-2.850 2.488 3.168
-3.283 4.044 11.946
-2.038 -0.587 5.752
-4.622 0.598 12.176
-0.699 2.859 5.522
-1.188 4.289 14.366
-4.133 -0.831 3.332
-0.863 4.148 11.127
-4.458 -0.691 6.572
-3.927 3.047 14.211
-1.393 0.410 3.487
-1.842 1.913 12.227
-3.478 1.544 5.471
-2.452 6.403 12.526
-2.868 -2.946 5.173
-0.787 3.551 8.534
-4.533 -0.094 9.165
-3.527 4.720 16.243
-1.793 -1.263 1.456
-1.746 0.835 7.890
-3.574 2.622 9.809
-5.327 -3.880 3.612
0.006 7.338 14.086
```

=====

Run Q
UGa4Ir2 after structural relaxation, computed with PBE.

```
UGa4Ir2
1.0
4.535 0.000 0.000
0.000 7.342 0.000
0.000 0.000 7.342
U Ga Ir
2 8 4
Cartesian
2.268 0.000 0.000
0.000 3.671 3.671
0.000 0.663 2.465
0.000 6.678 4.877
2.268 1.206 4.334
2.268 6.136 3.007
2.268 3.007 6.136
2.268 4.334 1.206
0.000 2.465 0.663
0.000 4.877 6.678
0.000 1.740 5.602
0.000 5.602 1.740
2.268 5.411 5.411
2.268 1.931 1.931
```

=====

Which of them is the least stable? Correct choice: run Q.